[1]
## Ba2ZnHg3 (PBE)

Data for a relaxed Ba2ZnHg3 crystal.

Properties
Formation energy from the elements: -0.43 eV per atom
D(E_F): 4.7 states/eV/f.u.
Raw total energy: -8.58 eV per formula unit
SG: Fmmm, No. 69

Unit cell a=10.189 b=9.855 c=6.667 alpha=73.31 beta=67.88 gamma=38.81
Fractional coordinates of all 12 atoms:
Ba (0.242, 0.758, 0.758)
Ba (0.250, 0.250, 0.250)
Ba (0.750, 0.750, 0.750)
Ba (0.758, 0.242, 0.242)
Zn (0.333, 0.333, 0.667)
Zn (0.667, 0.667, 0.333)
Hg (0.173, 0.173, 0.827)
Hg (0.176, 0.651, 0.349)
Hg (0.349, 0.824, 0.176)
Hg (0.651, 0.176, 0.824)
Hg (0.824, 0.349, 0.651)
Hg (0.827, 0.827, 0.173)

[2]
## BaZnHg (PBE)

Data for a relaxed BaZnHg crystal.

Properties
Formation energy from the elements: -0.35 eV per atom
D(E_F): 2.1 states/eV/f.u.
Relative energy among the computed polymorphs: 0.04 eV/f.u.
Raw total energy: -4.54 eV per formula unit
SG: Pmma, No. 51

Unit cell a=4.909 b=4.413 c=8.672 alpha=90.00 beta=90.00 gamma=90.00
Fractional coordinates of all 6 atoms:
Ba (0.250, 0.000, 0.244)
Ba (0.750, 0.000, 0.756)
Zn (0.250, 0.500, 0.931)
Zn (0.750, 0.500, 0.069)
Hg (0.250, 0.500, 0.601)
Hg (0.750, 0.500, 0.399)

[3]
## Ba4Zn3Hg (PBE)

Data for a relaxed Ba4Zn3Hg crystal.

Properties
Formation energy from the elements: -0.25 eV per atom
D(E_F): 7.4 states/eV/f.u.
Raw total energy: -13.80 eV per formula unit
SG: Pmmm, No. 47

Unit cell a=4.153 b=5.844 c=11.683 alpha=90.00 beta=90.00 gamma=90.00
Fractional coordinates of all 8 atoms:
Ba (0.000, 0.000, 0.000)
Ba (0.000, 0.000, 0.500)
Ba (0.000, 0.500, 0.246)
Ba (0.000, 0.500, 0.754)
Zn (0.500, 0.000, 0.247)
Zn (0.500, 0.000, 0.753)
Zn (0.500, 0.500, 0.000)
Hg (0.500, 0.500, 0.500)

[4]
## Ba2ZnHg12 (PBE)

Data for a relaxed Ba2ZnHg12 crystal.

Properties
Formation energy from the elements: -0.21 eV per atom
D(E_F): 7.7 states/eV/f.u.
Raw total energy: -11.85 eV per formula unit
SG: P4/nbm, No. 125

Unit cell a=6.985 b=6.985 c=17.880 alpha=90.00 beta=90.00 gamma=90.00
Fractional coordinates of all 30 atoms:
Ba (0.250, 0.750, 0.242)
Ba (0.250, 0.750, 0.758)
Ba (0.750, 0.250, 0.242)
Ba (0.750, 0.250, 0.758)
Zn (0.250, 0.750, 0.000)
Zn (0.750, 0.250, 0.000)
Hg (0.002, 0.502, 0.084)
Hg (0.002, 0.998, 0.916)
Hg (0.090, 0.590, 0.431)
Hg (0.090, 0.910, 0.569)
Hg (0.250, 0.250, 0.182)
Hg (0.250, 0.250, 0.346)
Hg (0.250, 0.250, 0.654)
Hg (0.250, 0.250, 0.818)
Hg (0.410, 0.590, 0.569)
Hg (0.410, 0.910, 0.431)
Hg (0.498, 0.502, 0.916)
Hg (0.498, 0.998, 0.084)
Hg (0.502, 0.002, 0.916)
Hg (0.502, 0.498, 0.084)
Hg (0.590, 0.090, 0.569)
Hg (0.590, 0.410, 0.431)
Hg (0.750, 0.750, 0.182)
Hg (0.750, 0.750, 0.346)
Hg (0.750, 0.750, 0.654)
Hg (0.750, 0.750, 0.818)
Hg (0.910, 0.090, 0.431)
Hg (0.910, 0.410, 0.569)
Hg (0.998, 0.002, 0.084)
Hg (0.998, 0.498, 0.916)

[5]
## Ba2ZnHg (PBE)

Data for a relaxed Ba2ZnHg crystal.

Properties
Formation energy from the elements: -0.34 eV per atom
D(E_F): 2.2 states/eV/f.u.
Raw total energy: -6.78 eV per formula unit
SG: Fm-3m, No. 225

Unit cell a=8.335 b=8.335 c=8.335 alpha=90.00 beta=90.00 gamma=90.00
Fractional coordinates of all 16 atoms:
Ba (0.250, 0.250, 0.250)
Ba (0.250, 0.250, 0.750)
Ba (0.250, 0.750, 0.250)
Ba (0.250, 0.750, 0.750)
Ba (0.750, 0.250, 0.250)
Ba (0.750, 0.250, 0.750)
Ba (0.750, 0.750, 0.250)
Ba (0.750, 0.750, 0.750)
Zn (0.000, 0.000, 0.000)
Zn (0.000, 0.500, 0.500)
Zn (0.500, 0.000, 0.500)
Zn (0.500, 0.500, 0.000)
Hg (0.000, 0.000, 0.500)
Hg (0.000, 0.500, 0.000)
Hg (0.500, 0.000, 0.000)
Hg (0.500, 0.500, 0.500)

[6]
## Ba2ZnHg (PBE)

Data for a relaxed Ba2ZnHg crystal.

Properties
Formation energy from the elements: -0.16 eV per atom
D(E_F): 3.5 states/eV/f.u.
Raw total energy: -6.05 eV per formula unit
SG: I-4m2, No. 119

Unit cell a=5.050 b=5.050 c=10.984 alpha=90.00 beta=90.00 gamma=90.00
Fractional coordinates of all 8 atoms:
Ba (0.000, 0.000, 0.000)
Ba (0.000, 0.500, 0.250)
Ba (0.500, 0.000, 0.750)
Ba (0.500, 0.500, 0.500)
Zn (0.000, 0.000, 0.500)
Zn (0.500, 0.500, 0.000)
Hg (0.000, 0.500, 0.750)
Hg (0.500, 0.000, 0.250)

[7]
## BaZnHg (PBE)

Data for a relaxed BaZnHg crystal.

Properties
Formation energy from the elements: -0.13 eV per atom
D(E_F): 3.9 states/eV/f.u.
Relative energy among the computed polymorphs: 0.68 eV/f.u.
Raw total energy: -3.90 eV per formula unit
SG: F-43m, No. 216

Unit cell a=7.553 b=7.553 c=7.553 alpha=90.00 beta=90.00 gamma=90.00
Fractional coordinates of all 12 atoms:
Ba (0.000, 0.000, 0.000)
Ba (0.000, 0.500, 0.500)
Ba (0.500, 0.000, 0.500)
Ba (0.500, 0.500, 0.000)
Zn (0.000, 0.000, 0.500)
Zn (0.000, 0.500, 0.000)
Zn (0.500, 0.000, 0.000)
Zn (0.500, 0.500, 0.500)
Hg (0.250, 0.250, 0.250)
Hg (0.250, 0.750, 0.750)
Hg (0.750, 0.250, 0.750)
Hg (0.750, 0.750, 0.250)

[8]
## Ba3Zn2Hg (PBE)

Data for a relaxed Ba3Zn2Hg crystal.

Properties
Formation energy from the elements: -0.28 eV per atom
D(E_F): 5.3 states/eV/f.u.
Raw total energy: -10.30 eV per formula unit
SG: P4/mmm, No. 123

Unit cell a=4.152 b=4.152 c=12.390 alpha=90.00 beta=90.00 gamma=90.00
Fractional coordinates of all 6 atoms:
Ba (0.000, 0.000, 0.000)
Ba (0.000, 0.000, 0.329)
Ba (0.000, 0.000, 0.671)
Zn (0.500, 0.500, 0.163)
Zn (0.500, 0.500, 0.837)
Hg (0.500, 0.500, 0.500)

[9]
## BaZnHg (PBE)

Data for a relaxed BaZnHg crystal.

Properties
Formation energy from the elements: -0.33 eV per atom
D(E_F): 1.8 states/eV/f.u.
Relative energy among the computed polymorphs: 0.08 eV/f.u.
Raw total energy: -4.50 eV per formula unit
SG: P2_1/c, No. 14

Unit cell a=6.600 b=6.880 c=8.894 alpha=90.00 beta=114.61 gamma=90.00
Fractional coordinates of all 12 atoms:
Ba (0.203, 0.147, 0.376)
Ba (0.203, 0.353, 0.876)
Ba (0.797, 0.647, 0.124)
Ba (0.797, 0.853, 0.624)
Zn (0.386, 0.599, 0.285)
Zn (0.386, 0.901, 0.785)
Zn (0.614, 0.099, 0.215)
Zn (0.614, 0.401, 0.715)
Hg (0.237, 0.634, 0.536)
Hg (0.237, 0.866, 0.036)
Hg (0.763, 0.134, 0.964)
Hg (0.763, 0.366, 0.464)

[10]
## BaZn2Hg8 (PBE)

Data for a relaxed BaZn2Hg8 crystal.

Properties
Formation energy from the elements: -0.03 eV per atom
D(E_F): 4.3 states/eV/f.u.
Relative energy among the computed polymorphs: 0.03 eV/f.u.
Raw total energy: -7.22 eV per formula unit
SG: I4/mmm, No. 139

Unit cell a=9.989 b=9.989 c=9.989 alpha=142.51 beta=142.51 gamma=54.07
Fractional coordinates of all 11 atoms:
Ba (0.000, 0.000, 0.000)
Zn (0.250, 0.750, 0.500)
Zn (0.750, 0.250, 0.500)
Hg (0.109, 0.109, 0.514)
Hg (0.109, 0.596, 0.000)
Hg (0.404, 0.404, 0.514)
Hg (0.404, 0.891, 0.000)
Hg (0.596, 0.109, 0.000)
Hg (0.596, 0.596, 0.486)
Hg (0.891, 0.404, 0.000)
Hg (0.891, 0.891, 0.486)

[11]
## BaZnHg4 (PBE)

Data for a relaxed BaZnHg4 crystal.

Properties
Formation energy from the elements: -0.24 eV per atom
D(E_F): 3.2 states/eV/f.u.
Relative energy among the computed polymorphs: 0.00 eV/f.u.
Raw total energy: -5.84 eV per formula unit
SG: Cmcm, No. 63

Unit cell a=8.486 b=8.486 c=7.616 alpha=90.00 beta=90.00 gamma=141.77
Fractional coordinates of all 12 atoms:
Ba (0.107, 0.893, 0.750)
Ba (0.893, 0.107, 0.250)
Zn (0.377, 0.623, 0.750)
Zn (0.623, 0.377, 0.250)
Hg (0.110, 0.890, 0.250)
Hg (0.286, 0.714, 0.052)
Hg (0.286, 0.714, 0.448)
Hg (0.500, 0.500, 0.000)
Hg (0.500, 0.500, 0.500)
Hg (0.714, 0.286, 0.552)
Hg (0.714, 0.286, 0.948)
Hg (0.890, 0.110, 0.750)

[12]
## Ba5Zn2Hg (PBE)

Data for a relaxed Ba5Zn2Hg crystal.

Properties
Formation energy from the elements: -0.20 eV per atom
D(E_F): 11.0 states/eV/f.u.
Raw total energy: -14.06 eV per formula unit
SG: I4/mcm, No. 140

Unit cell a=11.110 b=11.110 c=11.110 alpha=134.96 beta=134.96 gamma=65.59
Fractional coordinates of all 16 atoms:
Ba (0.000, 0.000, 0.000)
Ba (0.030, 0.530, 0.854)
Ba (0.176, 0.030, 0.500)
Ba (0.324, 0.824, 0.854)
Ba (0.470, 0.324, 0.500)
Ba (0.500, 0.500, 0.000)
Ba (0.530, 0.676, 0.500)
Ba (0.676, 0.176, 0.146)
Ba (0.824, 0.970, 0.500)
Ba (0.970, 0.470, 0.146)
Zn (0.107, 0.393, 0.500)
Zn (0.393, 0.893, 0.286)
Zn (0.607, 0.107, 0.714)
Zn (0.893, 0.607, 0.500)
Hg (0.250, 0.250, 0.000)
Hg (0.750, 0.750, 0.000)

[13]
## Ba2ZnHg (PBE)

Data for a relaxed Ba2ZnHg crystal.

Properties
Formation energy from the elements: -0.20 eV per atom
D(E_F): 5.1 states/eV/f.u.
Raw total energy: -6.22 eV per formula unit
SG: R3m, No. 160

Unit cell a=4.697 b=4.697 c=26.537 alpha=90.00 beta=90.00 gamma=120.00
Fractional coordinates of all 12 atoms:
Ba (0.000, 0.000, 0.000)
Ba (0.000, 0.000, 0.172)
Ba (0.333, 0.667, 0.667)
Ba (0.333, 0.667, 0.839)
Ba (0.667, 0.333, 0.333)
Ba (0.667, 0.333, 0.505)
Zn (0.000, 0.000, 0.587)
Zn (0.333, 0.667, 0.254)
Zn (0.667, 0.333, 0.920)
Hg (0.000, 0.000, 0.752)
Hg (0.333, 0.667, 0.419)
Hg (0.667, 0.333, 0.086)

[14]
## Ba3ZnHg2 (PBE)

Data for a relaxed Ba3ZnHg2 crystal.

Properties
Formation energy from the elements: -0.40 eV per atom
D(E_F): 5.0 states/eV/f.u.
Raw total energy: -10.06 eV per formula unit
SG: Cmmm, No. 65

Unit cell a=5.925 b=17.737 c=4.169 alpha=90.00 beta=90.00 gamma=90.00
Fractional coordinates of all 12 atoms:
Ba (0.000, 0.000, 0.000)
Ba (0.000, 0.336, 0.000)
Ba (0.000, 0.664, 0.000)
Ba (0.500, 0.164, 0.000)
Ba (0.500, 0.500, 0.000)
Ba (0.500, 0.836, 0.000)
Zn (0.000, 0.500, 0.500)
Zn (0.500, 0.000, 0.500)
Hg (0.000, 0.166, 0.500)
Hg (0.000, 0.834, 0.500)
Hg (0.500, 0.334, 0.500)
Hg (0.500, 0.666, 0.500)

[15]
## Ba2ZnHg (PBE)

Data for a relaxed Ba2ZnHg crystal.

Properties
Formation energy from the elements: 0.35 eV per atom
D(E_F): 5.2 states/eV/f.u.
Raw total energy: -4.03 eV per formula unit
SG: Immm, No. 71

Unit cell a=4.095 b=6.993 c=13.672 alpha=90.00 beta=90.00 gamma=90.00
Fractional coordinates of all 8 atoms:
Ba (0.000, 0.000, 0.248)
Ba (0.000, 0.000, 0.752)
Ba (0.500, 0.500, 0.252)
Ba (0.500, 0.500, 0.748)
Zn (0.000, 0.000, 0.000)
Zn (0.500, 0.500, 0.500)
Hg (0.000, 0.000, 0.500)
Hg (0.500, 0.500, 0.000)

[16]
## BaZn3Hg (PBE)

Data for a relaxed BaZn3Hg crystal.

Properties
Formation energy from the elements: 0.05 eV per atom
D(E_F): 2.8 states/eV/f.u.
Relative energy among the computed polymorphs: 0.00 eV/f.u.
Raw total energy: -5.81 eV per formula unit
SG: Pm-3m, No. 221

Unit cell a=5.189 b=5.189 c=5.189 alpha=90.00 beta=90.00 gamma=90.00
Fractional coordinates of all 5 atoms:
Ba (0.000, 0.000, 0.000)
Zn (0.000, 0.500, 0.500)
Zn (0.500, 0.000, 0.500)
Zn (0.500, 0.500, 0.000)
Hg (0.500, 0.500, 0.500)

[17]
## BaZn3Hg (PBE)

Data for a relaxed BaZn3Hg crystal.

Properties
Formation energy from the elements: 0.67 eV per atom
D(E_F): 7.0 states/eV/f.u.
Relative energy among the computed polymorphs: 3.10 eV/f.u.
Raw total energy: -2.71 eV per formula unit
SG: Pm-3m, No. 221

Unit cell a=6.585 b=6.585 c=6.585 alpha=90.00 beta=90.00 gamma=90.00
Fractional coordinates of all 5 atoms:
Ba (0.000, 0.000, 0.000)
Zn (0.000, 0.000, 0.500)
Zn (0.000, 0.500, 0.000)
Zn (0.500, 0.000, 0.000)
Hg (0.500, 0.500, 0.500)

[18]
## Ba2ZnHg (PBE)

Data for a relaxed Ba2ZnHg crystal.

Properties
Formation energy from the elements: -0.08 eV per atom
D(E_F): 7.7 states/eV/f.u.
Raw total energy: -5.74 eV per formula unit
SG: I-42d, No. 122

Unit cell a=9.046 b=9.046 c=8.379 alpha=90.00 beta=90.00 gamma=90.00
Fractional coordinates of all 16 atoms:
Ba (0.241, 0.750, 0.125)
Ba (0.250, 0.241, 0.875)
Ba (0.250, 0.259, 0.375)
Ba (0.259, 0.750, 0.625)
Ba (0.741, 0.250, 0.625)
Ba (0.750, 0.741, 0.375)
Ba (0.750, 0.759, 0.875)
Ba (0.759, 0.250, 0.125)
Zn (0.000, 0.000, 0.000)
Zn (0.000, 0.500, 0.250)
Zn (0.500, 0.000, 0.750)
Zn (0.500, 0.500, 0.500)
Hg (0.000, 0.000, 0.500)
Hg (0.000, 0.500, 0.750)
Hg (0.500, 0.000, 0.250)
Hg (0.500, 0.500, 0.000)

[19]
## Ba3ZnHg3 (PBE)

Data for a relaxed Ba3ZnHg3 crystal.

Properties
Formation energy from the elements: -0.42 eV per atom
D(E_F): 4.9 states/eV/f.u.
Raw total energy: -10.92 eV per formula unit
SG: C2/m, No. 12

Unit cell a=6.678 b=6.678 c=17.995 alpha=106.84 beta=106.84 gamma=40.87
Fractional coordinates of all 14 atoms:
Ba (0.035, 0.035, 0.395)
Ba (0.101, 0.101, 0.920)
Ba (0.240, 0.240, 0.239)
Ba (0.760, 0.760, 0.761)
Ba (0.899, 0.899, 0.080)
Ba (0.965, 0.965, 0.605)
Zn (0.261, 0.261, 0.604)
Zn (0.739, 0.739, 0.396)
Hg (0.349, 0.349, 0.454)
Hg (0.387, 0.387, 0.921)
Hg (0.472, 0.472, 0.760)
Hg (0.528, 0.528, 0.240)
Hg (0.613, 0.613, 0.079)
Hg (0.651, 0.651, 0.546)

[20]
## BaZnHg (PBE)

Data for a relaxed BaZnHg crystal.

Properties
Formation energy from the elements: -0.36 eV per atom
D(E_F): 1.9 states/eV/f.u.
Relative energy among the computed polymorphs: 0.01 eV/f.u.
Raw total energy: -4.57 eV per formula unit
SG: C2/m, No. 12

Unit cell a=10.118 b=8.619 c=4.879 alpha=90.00 beta=118.00 gamma=90.00
Fractional coordinates of all 12 atoms:
Ba (0.243, 0.000, 0.241)
Ba (0.257, 0.500, 0.759)
Ba (0.743, 0.500, 0.241)
Ba (0.757, 0.000, 0.759)
Zn (0.000, 0.347, 0.000)
Zn (0.000, 0.653, 0.000)
Zn (0.500, 0.153, 0.000)
Zn (0.500, 0.847, 0.000)
Hg (0.000, 0.182, 0.500)
Hg (0.000, 0.818, 0.500)
Hg (0.500, 0.318, 0.500)
Hg (0.500, 0.682, 0.500)

[21]
## BaZnHg (PBE)

Data for a relaxed BaZnHg crystal.

Properties
Formation energy from the elements: -0.17 eV per atom
D(E_F): 3.8 states/eV/f.u.
Relative energy among the computed polymorphs: 0.57 eV/f.u.
Raw total energy: -4.02 eV per formula unit
SG: F-43m, No. 216

Unit cell a=7.403 b=7.403 c=7.403 alpha=90.00 beta=90.00 gamma=90.00
Fractional coordinates of all 12 atoms:
Ba (0.000, 0.000, 0.000)
Ba (0.000, 0.500, 0.500)
Ba (0.500, 0.000, 0.500)
Ba (0.500, 0.500, 0.000)
Zn (0.250, 0.250, 0.250)
Zn (0.250, 0.750, 0.750)
Zn (0.750, 0.250, 0.750)
Zn (0.750, 0.750, 0.250)
Hg (0.000, 0.000, 0.500)
Hg (0.000, 0.500, 0.000)
Hg (0.500, 0.000, 0.000)
Hg (0.500, 0.500, 0.500)

[22]
## Ba3ZnHg2 (PBE)

Data for a relaxed Ba3ZnHg2 crystal.

Properties
Formation energy from the elements: -0.40 eV per atom
D(E_F): 5.0 states/eV/f.u.
Raw total energy: -10.05 eV per formula unit
SG: P4/mmm, No. 123

Unit cell a=4.187 b=4.187 c=12.476 alpha=90.00 beta=90.00 gamma=90.00
Fractional coordinates of all 6 atoms:
Ba (0.000, 0.000, 0.000)
Ba (0.000, 0.000, 0.338)
Ba (0.000, 0.000, 0.662)
Zn (0.500, 0.500, 0.500)
Hg (0.500, 0.500, 0.169)
Hg (0.500, 0.500, 0.831)

[23]
## BaZnHg (PBE)

Data for a relaxed BaZnHg crystal.

Properties
Formation energy from the elements: -0.24 eV per atom
D(E_F): 1.8 states/eV/f.u.
Relative energy among the computed polymorphs: 0.35 eV/f.u.
Raw total energy: -4.23 eV per formula unit
SG: I4mm, No. 107

Unit cell a=4.111 b=4.111 c=10.879 alpha=90.00 beta=90.00 gamma=90.00
Fractional coordinates of all 6 atoms:
Ba (0.000, 0.000, 0.000)
Ba (0.500, 0.500, 0.500)
Zn (0.000, 0.000, 0.317)
Zn (0.500, 0.500, 0.817)
Hg (0.000, 0.000, 0.686)
Hg (0.500, 0.500, 0.186)

[24]
## Ba2ZnHg (PBE)

Data for a relaxed Ba2ZnHg crystal.

Properties
Formation energy from the elements: -0.32 eV per atom
D(E_F): 3.3 states/eV/f.u.
Raw total energy: -6.68 eV per formula unit
SG: Cm, No. 8

Unit cell a=12.532 b=4.535 c=5.310 alpha=90.00 beta=90.14 gamma=90.00
Fractional coordinates of all 8 atoms:
Ba (0.000, 0.000, 0.000)
Ba (0.222, 0.500, 0.502)
Ba (0.500, 0.500, 0.000)
Ba (0.722, 0.000, 0.502)
Zn (0.433, 0.000, 0.500)
Zn (0.933, 0.500, 0.500)
Hg (0.290, 0.000, 0.002)
Hg (0.790, 0.500, 0.002)

[25]
## Ba2ZnHg (PBE)

Data for a relaxed Ba2ZnHg crystal.

Properties
Formation energy from the elements: -0.22 eV per atom
D(E_F): 2.8 states/eV/f.u.
Raw total energy: -6.29 eV per formula unit
SG: P4mm, No. 99

Unit cell a=4.328 b=4.328 c=8.504 alpha=90.00 beta=90.00 gamma=90.00
Fractional coordinates of all 4 atoms:
Ba (0.000, 0.000, 0.000)
Ba (0.500, 0.500, 0.418)
Zn (0.500, 0.500, 0.812)
Hg (0.000, 0.000, 0.608)